No. 1
# ThZn6Ag6 (PBE, relaxed)
data_ThZn6Ag6
_cell_length_a 5.2026
_cell_length_b 9.3461
_cell_length_c 9.3760
_cell_angle_alpha 90.00
_cell_angle_beta 90.00
_cell_angle_gamma 90.00
_symmetry_space_group_name_H-M 'I m m m'
_symmetry_Int_Tables_number 71
_symmetry_space_group_name_Hall '-I 2 2'
loop_
_atom_site_label
_atom_site_type_symbol
_atom_site_fract_x
_atom_site_fract_y
_atom_site_fract_z
Th1 Th 0.0000 0.0000 0.0000
Zn1 Zn 0.0000 0.2740 0.5000
Zn2 Zn 0.2500 0.2500 0.2500
Ag1 Ag 0.0000 0.0000 0.3496
Ag2 Ag 0.0000 0.3458 0.0000
Ag3 Ag 0.0000 0.5000 0.2979
# Total magnetization   0.0000 μB/atom
# Mass density   9.264 g/cm³
# DFT formation energy   -0.122 eV/atom

No. 2
# PmGaBiPd (PBE, relaxed)
data_PmGaBiPd
_cell_length_a 7.1902
_cell_length_b 7.1902
_cell_length_c 7.1902
_cell_angle_alpha 90.00
_cell_angle_beta 90.00
_cell_angle_gamma 90.00
_symmetry_space_group_name_H-M 'F -4 3 m'
_symmetry_Int_Tables_number 216
_symmetry_space_group_name_Hall 'F -4 2 3'
loop_
_atom_site_label
_atom_site_type_symbol
_atom_site_fract_x
_atom_site_fract_y
_atom_site_fract_z
Pm1 Pm 0.0000 0.0000 0.0000
Ga1 Ga 0.2500 0.2500 0.2500
Bi1 Bi 0.0000 0.0000 0.5000
Pd1 Pd 0.2500 0.2500 0.7500
# Total magnetization   0.0000 μB/atom
# Mass density   9.473 g/cm³
# DFT formation energy   -0.492 eV/atom